A relaxed KAlOs2Cl crystal, computed with PBE.

a = 4.4460 Å, b = 5.4351 Å, c = 4.4460 Å
α = 90.00°, β = 90.00°, γ = 90.00°
Last column: nearest neighbours and their distance in Å.
Atoms (fractional coordinates):
Cl1 0.0000 0.0000 0.0000  4 Os 2.22
K1 0.5000 0.5000 0.5000  4 Al 3.14, 8 Os 3.51
Os1 0.0000 0.0000 0.5000  2 Cl 2.22
Al1 0.0000 0.5000 0.0000  2 Cl 2.72
Os2 0.5000 0.0000 0.0000  2 Cl 2.22

## Properties
* uncorrected formation energy: 1608 meV per atom

***

A relaxed KAlP2Cl crystal, computed with PBE.

a = 6.1242 Å, b = 6.1242 Å, c = 5.6459 Å
α = 90.00°, β = 90.00°, γ = 90.00°
Last column: nearest neighbours and their distance in Å.
Atoms (fractional coordinates):
Al1 0.5000 0.5000 0.5000  8 P 4.16, 4 Cl 4.33
Cl1 0.0000 0.0000 0.5000  2 K 2.82
P1 0.0000 0.5000 0.0000  2 K 3.06
K1 0.0000 0.0000 0.0000  2 Cl 2.82, 4 P 3.06
P2 0.5000 0.0000 0.0000  2 K 3.06

## Properties
* uncorrected formation energy: 1102 meV per atom

***

A relaxed KAlP2Cl crystal, computed with PBE.

a = 4.6002 Å, b = 4.6002 Å, c = 5.8925 Å
α = 90.00°, β = 90.00°, γ = 90.00°
Last column: nearest neighbours and their distance in Å.
Atoms (fractional coordinates):
Cl1 0.0000 0.0000 0.5000  2 Al 2.95, 4 K 3.25
P1 0.0000 0.5000 0.0000  2 Al 2.30
Al1 0.0000 0.0000 0.0000  4 P 2.30
K1 0.5000 0.5000 0.5000  4 Cl 3.25
P2 0.5000 0.0000 0.0000  2 Al 2.30

## Properties
* uncorrected formation energy: -231 meV per atom